1.
Entry from Alexandria: a relaxed structure of Li15Zn4In (GGA-PBE).

The structure belongs to space group P4/mmm (No. 123); the cell edges are 4.330, 4.330 and 18.151 Å and the angles 90.00°, 90.00° and 90.00°. The distinct sites, in fractional coordinates, are Li at (0.000, 0.000, 0.000), Li at (0.000, 0.000, 0.206), Li at (0.000, 0.000, 0.402), Li at (0.000, 0.500, 0.108), Li at (0.000, 0.500, 0.304), Li at (0.000, 0.500, 0.500), Zn at (0.500, 0.500, 0.206), Zn at (0.500, 0.500, 0.402) and In at (0.500, 0.500, 0.000).

---

2.
Entry from Alexandria: a relaxed structure of Li5Zn3In3 (GGA-PBE).

The structure belongs to space group P-62m (No. 189); the cell edges are 9.3957, 9.3957 and 2.9344 Å and the angles 90.00°, 90.00° and 120.00°. The distinct sites, in fractional coordinates, are Li at (0.0000, 0.6699, 0.0000), Li at (0.3333, 0.6667, 0.0000), Zn at (0.0000, 0.1553, 0.0000) and In at (0.0000, 0.4084, 0.5000).

---

3.
Entry from Alexandria: a relaxed structure of Li3ZnIn (GGA-PBE).

The structure belongs to space group P2_1/m (No. 11); the cell edges are 5.137, 4.983 and 7.295 Å and the angles 90.00°, 104.11° and 90.00°. The distinct sites, in fractional coordinates, are Li at (0.000, 0.000, 0.000), Li at (0.332, 0.250, 0.460), Li at (0.483, 0.250, 0.870), Zn at (0.089, 0.750, 0.336) and In at (0.244, 0.750, 0.725).

---

4.
Entry from Alexandria: a relaxed structure of Li5Zn2In (GGA-PBE).

The structure belongs to space group I4/mmm (No. 139); the cell edges are 4.053, 4.053 and 16.414 Å and the angles 90.00°, 90.00° and 90.00°. The distinct sites, in fractional coordinates, are Li at (0.000, 0.000, 0.000), Li at (0.000, 0.500, 0.135), Zn at (0.000, 0.000, 0.248) and In at (0.000, 0.000, 0.500).

---

| no. | DFT total energy (eV per atom) |
| --- | --- |
| 1 | -1.94 |
| 2 | -2.03 |
| 3 | -2.12 |
| 4 | -2.04 |